No. 1
Below is a relaxed TbCePmEr crystal, with properties calculated at the GGA-PBE level.

Results
**Calculated total energy**: -19.1 eV/f.u.
**Magnetization**: 0.796 μB/atom
**Formation energy from the elements**: 195 meV per atom
**Density**: 7.787 g cm⁻³

Cell: 5.6913 5.6913 5.6913 Å, 60.00 60.00 60.00°
Last column: nearest neighbours and their distance in Å.
Fractional coordinates of all 4 atoms:
Pm  0.0000  0.0000  0.0000  4 Ce 3.49, 4 Er 3.49
Ce  0.7500  0.7500  0.7500  4 Tb 3.49, 4 Pm 3.49
Er  0.2500  0.2500  0.2500  4 Pm 3.49, 4 Tb 3.49
Tb  0.5000  0.5000  0.5000  4 Er 3.49, 4 Ce 3.49


No. 2
Below is a relaxed Tb2CePmEr crystal, with properties calculated at the GGA-PBE level.

Results
**Calculated total energy**: -23.1 eV/f.u.
**Magnetization**: 0.329 μB/atom
**Formation energy from the elements**: 285 meV per atom
**Density**: 7.806 g cm⁻³

Cell: 7.1154 7.8186 5.8905 Å, 90.00 90.00 90.00°
Last column: nearest neighbours and their distance in Å.
Fractional coordinates of all 10 atoms:
Ce  0.0000  0.0000  0.5000  2 Ce 2.95, 2 Er 3.16
Ce  0.0000  0.0000  0.0000  2 Ce 2.95, 2 Er 3.16
Er  0.3923  0.0000  0.7500  2 Tb 3.08, 2 Ce 3.16, 2 Er 3.32
Er  0.6077  0.0000  0.2500  2 Tb 3.08, 2 Ce 3.16, 2 Er 3.32
Tb  0.3182  0.2921  0.2500  1 Er 3.08, 1 Tb 3.25
Tb  0.6818  0.2921  0.7500  1 Er 3.08, 1 Tb 3.25
Tb  0.6818  0.7079  0.7500  1 Er 3.08, 1 Tb 3.25
Tb  0.3182  0.7079  0.2500  1 Er 3.08, 1 Tb 3.25
Pm  0.1622  0.5000  0.7500  6 Tb 3.54-3.78, 2 Pm 3.74
Pm  0.8378  0.5000  0.2500  6 Tb 3.54-3.78, 2 Pm 3.74


No. 3
Below is a relaxed TbCePm2Er5 crystal, with properties calculated at the GGA-PBE level.

Results
**Calculated total energy**: -40.4 eV/f.u.
**Magnetization**: 0.108 μB/atom
**Formation energy from the elements**: 273 meV per atom
**Density**: 8.325 g cm⁻³

Cell: 8.5747 8.5747 9.8271 Å, 115.87 115.87 90.00°
Last column: nearest neighbours and their distance in Å.
Fractional coordinates of all 18 atoms:
Tb  0.2500  0.2500  0.5000  10 Er 3.52-3.87
Tb  0.7500  0.7500  0.5000  10 Er 3.52-3.87
Er  0.8446  0.9352  0.2798  1 Ce 3.01, 1 Pm 3.04
Er  0.0000  0.0000  0.0000  4 Pm 3.42, 8 Er 3.76-3.77
Er  0.5648  0.6554  0.7202  1 Ce 3.01, 1 Pm 3.04
Er  0.5000  0.5000  0.0000  4 Pm 3.42, 8 Er 3.76-3.77
Er  0.1554  0.0648  0.7202  1 Ce 3.01, 1 Pm 3.04
Er  0.6554  0.1554  0.7202  1 Ce 3.01, 1 Pm 3.04
Er  0.3446  0.8446  0.2798  1 Ce 3.01, 1 Pm 3.04
Er  0.9352  0.4352  0.2798  1 Ce 3.01, 1 Pm 3.04
Er  0.4352  0.3446  0.2798  1 Ce 3.01, 1 Pm 3.04
Er  0.0648  0.5648  0.7202  1 Ce 3.01, 1 Pm 3.04
Pm  0.6196  0.1196  0.0000  1 Pm 2.90, 2 Er 3.04
Pm  0.8804  0.6196  0.0000  1 Pm 2.90, 2 Er 3.04
Pm  0.1196  0.3804  0.0000  1 Pm 2.90, 2 Er 3.04
Pm  0.3804  0.8804  0.0000  1 Pm 2.90, 2 Er 3.04
Ce  0.2500  0.7500  0.5000  4 Er 3.01
Ce  0.7500  0.2500  0.5000  4 Er 3.01


No. 4
Below is a relaxed Tb6Ce2PmEr3 crystal, with properties calculated at the GGA-PBE level.

Results
**Calculated total energy**: -57.5 eV/f.u.
**Magnetization**: 0.154 μB/atom
**Formation energy from the elements**: 51 meV per atom
**Density**: 8.260 g cm⁻³

Cell: 6.1395 6.1395 11.7622 Å, 95.00 95.00 120.01°
Last column: nearest neighbours and their distance in Å.
Fractional coordinates of all 12 atoms:
Ce  0.6668  0.3332  0.0000  3 Ce 3.54-3.55, 3 Pm 3.54-3.55, 6 Tb 3.55
Ce  0.3332  0.6668  0.0000  3 Ce 3.54-3.55, 3 Pm 3.54-3.55, 6 Tb 3.55
Tb  0.7482  0.7482  0.2510  3 Er 3.53-3.54, 6 Tb 3.53-3.57, 2 Ce 3.55, 1 Pm 3.56
Tb  0.0844  0.4206  0.2510  3 Er 3.53-3.54, 6 Tb 3.53-3.58, 2 Ce 3.55, 1 Pm 3.57
Tb  0.2518  0.2518  0.7490  3 Er 3.53-3.54, 6 Tb 3.53-3.57, 2 Ce 3.55, 1 Pm 3.56
Tb  0.5794  0.9156  0.7490  3 Er 3.53-3.54, 6 Tb 3.53-3.58, 2 Ce 3.55, 1 Pm 3.57
Tb  0.9156  0.5794  0.7490  3 Er 3.53-3.54, 6 Tb 3.53-3.58, 2 Ce 3.55, 1 Pm 3.57
Tb  0.4206  0.0844  0.2510  3 Er 3.53-3.54, 6 Tb 3.53-3.58, 2 Ce 3.55, 1 Pm 3.57
Er  0.1663  0.8337  0.5000  6 Tb 3.53-3.54, 6 Er 3.54-3.55
Er  0.5000  0.5000  0.5000  6 Tb 3.53-3.54, 6 Er 3.54-3.55
Er  0.8337  0.1663  0.5000  6 Tb 3.53-3.54, 6 Er 3.54-3.55
Pm  0.0000  0.0000  0.0000  6 Ce 3.54-3.55, 6 Tb 3.56-3.57


No. 5
Below is a relaxed CePm2ErTe5 crystal, with properties calculated at the GGA-PBE level.

Results
**Calculated total energy**: -43.0 eV/f.u.
**Magnetization**: 0.102 μB/atom
**Formation energy without anion corrections**: -79 kJ per mole of atoms
**Density**: 5.695 g cm⁻³

Cell: 5.5088 5.5088 11.8706 Å, 90.00 90.00 90.00°
Last column: nearest neighbours and their distance in Å.
Fractional coordinates of all 9 atoms:
Te  0.5000  0.0000  0.5000  2 Er 2.75
Te  0.0000  0.0000  0.2529  1 Er 2.93, 1 Ce 3.00
Te  0.0000  0.0000  0.7471  1 Er 2.93, 1 Ce 3.00
Te  0.0000  0.5000  0.5000  2 Er 2.75
Te  0.5000  0.5000  0.0000  4 Ce 3.90, 2 Pm 4.10
Pm  0.5000  0.5000  0.6545  4 Te 3.31, 1 Pm 3.67
Pm  0.5000  0.5000  0.3455  4 Te 3.31, 1 Pm 3.67
Er  0.0000  0.0000  0.5000  6 Te 2.75-2.93
Ce  0.0000  0.0000  0.0000  2 Te 3.00


No. 6
Below is a relaxed Ce2PmErTe5 crystal, with properties calculated at the GGA-PBE level.

Results
**Calculated total energy**: -44.6 eV/f.u.
**Magnetization**: 0.382 μB/atom
**Formation energy without anion corrections**: -83 kJ per mole of atoms
**Density**: 5.812 g cm⁻³

Cell: 5.4779 5.4779 11.7167 Å, 90.00 90.00 90.00°
Last column: nearest neighbours and their distance in Å.
Fractional coordinates of all 9 atoms:
Te  0.5000  0.5000  0.0000  2 Ce 3.76, 4 Pm 3.87
Te  0.0000  0.0000  0.7511  1 Pm 2.92, 1 Er 2.94
Te  0.0000  0.5000  0.5000  2 Er 2.74
Te  0.5000  0.0000  0.5000  2 Er 2.74
Te  0.0000  0.0000  0.2489  1 Pm 2.92, 1 Er 2.94
Ce  0.5000  0.5000  0.6789  5 Te 3.45-3.76
Ce  0.5000  0.5000  0.3211  5 Te 3.45-3.76
Er  0.0000  0.0000  0.5000  6 Te 2.74-2.94
Pm  0.0000  0.0000  0.0000  2 Te 2.92


No. 7
Below is a relaxed Ce2Pm3ErTe6 crystal, with properties calculated at the GGA-PBE level.

Results
**Calculated total energy**: -65.9 eV/f.u.
**Magnetization**: 0.203 μB/atom
**Formation energy without anion corrections**: -132 kJ per mole of atoms
**Density**: 7.320 g cm⁻³

Cell: 4.4183 8.9698 9.9605 Å, 103.40 102.81 90.00°
Last column: nearest neighbours and their distance in Å.
Fractional coordinates of all 12 atoms:
Pm  0.1692  0.8343  0.3385  6 Te 3.13-3.18
Pm  0.5000  0.5000  0.0000  6 Te 3.13-3.21
Pm  0.8308  0.1657  0.6615  6 Te 3.13-3.18
Er  0.5000  0.0000  0.0000  6 Te 3.06-3.09
Ce  0.1678  0.3365  0.3356  6 Te 3.14-3.19
Ce  0.8322  0.6635  0.6644  6 Te 3.14-3.19
Te  0.3344  0.4148  0.6687  3 Pm 3.13, 3 Ce 3.14-3.15
Te  0.9989  0.2405  0.9978  2 Er 3.09, 3 Pm 3.17-3.21, 1 Ce 3.19
Te  0.0011  0.7595  0.0022  2 Er 3.09, 3 Pm 3.17-3.21, 1 Ce 3.19
Te  0.3377  0.9191  0.6753  1 Er 3.06, 3 Pm 3.15-3.18, 2 Ce 3.17
Te  0.6623  0.0809  0.3247  1 Er 3.06, 3 Pm 3.15-3.18, 2 Ce 3.17
Te  0.6656  0.5853  0.3313  3 Pm 3.13, 3 Ce 3.14-3.15


No. 8
Below is a relaxed Ce2PmEr3Te6 crystal, with properties calculated at the GGA-PBE level.

Results
**Calculated total energy**: -64.9 eV/f.u.
**Magnetization**: 0.217 μB/atom
**Formation energy without anion corrections**: -126 kJ per mole of atoms
**Density**: 7.769 g cm⁻³

Cell: 4.3470 8.9200 9.9039 Å, 104.69 102.68 90.00°
Last column: nearest neighbours and their distance in Å.
Fractional coordinates of all 12 atoms:
Ce  0.8330  0.6660  0.6659  6 Te 3.17-3.18
Ce  0.1670  0.3340  0.3341  6 Te 3.17-3.18
Er  0.1659  0.8324  0.3317  6 Te 3.04-3.07
Er  0.8341  0.1676  0.6683  6 Te 3.04-3.07
Er  0.5000  0.5000  0.0000  6 Te 3.05-3.06
Te  0.6632  0.5912  0.3265  3 Er 3.05, 3 Ce 3.17-3.18
Te  0.6696  0.0749  0.3392  3 Er 3.05-3.07, 1 Pm 3.17, 2 Ce 3.18
Te  0.3304  0.9251  0.6608  3 Er 3.05-3.07, 1 Pm 3.17, 2 Ce 3.18
Te  0.9972  0.2570  0.9943  3 Er 3.04-3.06, 2 Pm 3.17, 1 Ce 3.17
Te  0.3368  0.4088  0.6735  3 Er 3.05, 3 Ce 3.17-3.18
Te  0.0028  0.7430  0.0057  3 Er 3.04-3.06, 2 Pm 3.17, 1 Ce 3.17
Pm  0.5000  0.0000  0.0000  6 Te 3.17


No. 9
Below is a relaxed CePmErTh crystal, with properties calculated at the GGA-PBE level.

Results
**Calculated total energy**: -21.7 eV/f.u.
**Magnetization**: 0.568 μB/atom
**Formation energy from the elements**: 242 meV per atom
**Density**: 8.850 g cm⁻³

Cell: 5.6629 5.6629 5.6629 Å, 60.00 60.00 60.00°
Last column: nearest neighbours and their distance in Å.
Fractional coordinates of all 4 atoms:
Er  0.2500  0.2500  0.2500  4 Ce 3.47, 4 Pm 3.47
Th  0.7500  0.7500  0.7500  4 Pm 3.47, 4 Ce 3.47
Pm  0.5000  0.5000  0.5000  4 Er 3.47, 4 Th 3.47
Ce  0.0000  0.0000  0.0000  4 Er 3.47, 4 Th 3.47


No. 10
Below is a relaxed Ce2Pm3Er6Th crystal, with properties calculated at the GGA-PBE level.

Results
**Calculated total energy**: -60.5 eV/f.u.
**Magnetization**: 0.106 μB/atom
**Formation energy from the elements**: 38 meV per atom
**Density**: 8.634 g cm⁻³

Cell: 6.1462 6.1462 11.6508 Å, 95.05 95.05 120.00°
Last column: nearest neighbours and their distance in Å.
Fractional coordinates of all 12 atoms:
Er  0.0818  0.4138  0.2445  1 Th 3.47, 2 Ce 3.47-3.48, 6 Er 3.53-3.56, 3 Pm 3.57-3.58
Er  0.4138  0.0818  0.2445  1 Th 3.47, 2 Ce 3.47-3.48, 6 Er 3.53-3.56, 3 Pm 3.57-3.58
Er  0.9182  0.5862  0.7555  1 Th 3.47, 2 Ce 3.47-3.48, 6 Er 3.53-3.56, 3 Pm 3.57-3.58
Er  0.7498  0.7498  0.2444  1 Th 3.47, 2 Ce 3.48, 6 Er 3.53-3.56, 3 Pm 3.57-3.58
Er  0.5862  0.9182  0.7555  1 Th 3.47, 2 Ce 3.47-3.48, 6 Er 3.53-3.56, 3 Pm 3.57-3.58
Er  0.2502  0.2502  0.7556  1 Th 3.47, 2 Ce 3.48, 6 Er 3.53-3.56, 3 Pm 3.57-3.58
Pm  0.8333  0.1667  0.5000  6 Pm 3.55, 6 Er 3.57-3.58
Pm  0.5000  0.5000  0.5000  6 Pm 3.55, 6 Er 3.57-3.58
Pm  0.1667  0.8333  0.5000  6 Pm 3.55, 6 Er 3.57-3.58
Ce  0.3333  0.6667  0.0000  6 Er 3.47-3.48, 3 Th 3.55, 3 Ce 3.55
Ce  0.6667  0.3333  0.0000  6 Er 3.47-3.48, 3 Th 3.55, 3 Ce 3.55
Th  0.0000  0.0000  0.0000  6 Er 3.47, 6 Ce 3.55